1.
Material: CsSr2Tl
Method: DFT, PBE-GGA
State: optimized geometry

Structure (CIF):
```
data_CsSr2Tl
_cell_length_a 10.329
_cell_length_b 10.329
_cell_length_c 10.329
_cell_angle_alpha 30.14
_cell_angle_beta 30.14
_cell_angle_gamma 30.14
_symmetry_space_group_name_H-M 'P 1'
_symmetry_Int_Tables_number 1
loop_
_symmetry_equiv_pos_as_xyz
'x,y,z'
loop_
_atom_site_label
_atom_site_fract_x
_atom_site_fract_y
_atom_site_fract_z
Cs1 0.000 0.000 0.000
Sr1 0.546 0.546 0.546
Sr2 0.788 0.788 0.788
Tl1 0.166 0.166 0.166
```

## Properties
**Calculated formation energy**: -4 kJ per mole of atoms
**Offset from the most stable computed form**: 83.1 meV/atom

2.
Material: Ce2PrCu2Ge2
Method: DFT, PBE-GGA
State: optimized geometry

Structure (CIF):
```
data_Ce2PrCu2Ge2
_cell_length_a 9.614
_cell_length_b 9.614
_cell_length_c 9.614
_cell_angle_alpha 25.63
_cell_angle_beta 25.63
_cell_angle_gamma 25.63
_symmetry_space_group_name_H-M 'P 1'
_symmetry_Int_Tables_number 1
loop_
_symmetry_equiv_pos_as_xyz
'x,y,z'
loop_
_atom_site_label
_atom_site_fract_x
_atom_site_fract_y
_atom_site_fract_z
Ce1 0.141 0.141 0.141
Ce2 0.859 0.859 0.859
Pr1 0.000 0.000 0.000
Cu1 0.409 0.409 0.409
Cu2 0.591 0.591 0.591
Ge1 0.261 0.261 0.261
Ge2 0.739 0.739 0.739
```

## Properties
**Calculated formation energy**: -49 kJ per mole of atoms

3.
Material: Ba4SmBi3O12
Method: DFT, PBE-GGA
State: optimized geometry

Structure (CIF):
```
data_Ba4SmBi3O12
_cell_length_a 7.661
_cell_length_b 7.661
_cell_length_c 7.661
_cell_angle_alpha 109.47
_cell_angle_beta 109.47
_cell_angle_gamma 109.47
_symmetry_space_group_name_H-M 'P 1'
_symmetry_Int_Tables_number 1
loop_
_symmetry_equiv_pos_as_xyz
'x,y,z'
loop_
_atom_site_label
_atom_site_fract_x
_atom_site_fract_y
_atom_site_fract_z
Ba1 0.000 0.000 0.500
Ba2 0.000 0.500 0.000
Ba3 0.500 0.000 0.000
Ba4 0.500 0.500 0.500
Sm1 0.000 0.000 0.000
Bi1 0.000 0.500 0.500
Bi2 0.500 0.000 0.500
Bi3 0.500 0.500 0.000
O1 0.000 0.256 0.256
O2 0.000 0.744 0.744
O3 0.250 0.500 0.750
O4 0.250 0.750 0.500
O5 0.256 0.000 0.256
O6 0.256 0.256 0.000
O7 0.500 0.250 0.750
O8 0.500 0.750 0.250
O9 0.744 0.000 0.744
O10 0.744 0.744 0.000
O11 0.750 0.250 0.500
O12 0.750 0.500 0.250
```

## Properties
**Formation energy from raw total energies**: -2.048 eV/atom

4.
Material: MgTa2Ag
Method: DFT, PBE-GGA
State: optimized geometry

Structure (CIF):
```
data_MgTa2Ag
_cell_length_a 2.972
_cell_length_b 3.995
_cell_length_c 6.250
_cell_angle_alpha 90.00
_cell_angle_beta 90.00
_cell_angle_gamma 90.00
_symmetry_space_group_name_H-M 'P 1'
_symmetry_Int_Tables_number 1
loop_
_symmetry_equiv_pos_as_xyz
'x,y,z'
loop_
_atom_site_label
_atom_site_fract_x
_atom_site_fract_y
_atom_site_fract_z
Mg1 0.000 0.000 0.000
Ta1 0.000 0.000 0.499
Ta2 0.500 0.500 0.277
Ag1 0.500 0.500 0.777
```

## Properties
**Calculated formation energy**: 22 kJ per mole of atoms

5.
Material: Fe2AsPb
Method: DFT, PBE-GGA
State: optimized geometry

Structure (CIF):
```
data_Fe2AsPb
_cell_length_a 4.636
_cell_length_b 4.636
_cell_length_c 4.636
_cell_angle_alpha 60.00
_cell_angle_beta 60.00
_cell_angle_gamma 60.00
_symmetry_space_group_name_H-M 'P 1'
_symmetry_Int_Tables_number 1
loop_
_symmetry_equiv_pos_as_xyz
'x,y,z'
loop_
_atom_site_label
_atom_site_fract_x
_atom_site_fract_y
_atom_site_fract_z
Fe1 0.000 0.000 0.000
Fe2 0.250 0.250 0.250
As1 0.750 0.750 0.750
Pb1 0.500 0.500 0.500
```

## Properties
**Calculated formation energy**: 63 kJ per mole of atoms
**Offset from the most stable computed form**: 499.6 meV/atom

6.
Material: SbIr2W
Method: DFT, PBE-GGA
State: optimized geometry

Structure (CIF):
```
data_SbIr2W
_cell_length_a 9.127
_cell_length_b 9.127
_cell_length_c 9.127
_cell_angle_alpha 18.52
_cell_angle_beta 18.52
_cell_angle_gamma 18.52
_symmetry_space_group_name_H-M 'P 1'
_symmetry_Int_Tables_number 1
loop_
_symmetry_equiv_pos_as_xyz
'x,y,z'
loop_
_atom_site_label
_atom_site_fract_x
_atom_site_fract_y
_atom_site_fract_z
Sb1 0.000 0.000 0.000
Ir1 0.246 0.246 0.246
Ir2 0.754 0.754 0.754
W1 0.500 0.500 0.500
```

## Properties
**Formation energy from raw total energies**: 0.201 eV/atom

7.
Material: K4Rb3LiCl8
Method: DFT, PBE-GGA
State: optimized geometry

Structure (CIF):
```
data_K4Rb3LiCl8
_cell_length_a 9.102
_cell_length_b 9.102
_cell_length_c 8.976
_cell_angle_alpha 119.42
_cell_angle_beta 119.42
_cell_angle_gamma 59.17
_symmetry_space_group_name_H-M 'P 1'
_symmetry_Int_Tables_number 1
loop_
_symmetry_equiv_pos_as_xyz
'x,y,z'
loop_
_atom_site_label
_atom_site_fract_x
_atom_site_fract_y
_atom_site_fract_z
K1 0.000 0.000 0.000
K2 0.000 0.500 0.000
K3 0.500 0.000 0.000
K4 0.500 0.500 0.000
Rb1 0.000 0.000 0.500
Rb2 0.000 0.500 0.500
Rb3 0.500 0.000 0.500
Li1 0.500 0.500 0.500
Cl1 0.232 0.232 0.223
Cl2 0.254 0.254 0.764
Cl3 0.284 0.709 0.276
Cl4 0.291 0.716 0.724
Cl5 0.709 0.284 0.276
Cl6 0.716 0.291 0.724
Cl7 0.746 0.746 0.236
Cl8 0.768 0.768 0.777
```

## Properties
**Formation energy from raw total energies**: -1.884 eV/atom

8.
Material: ErScNb
Method: DFT, PBE-GGA
State: optimized geometry

Structure (CIF):
```
data_ErScNb
_cell_length_a 7.624
_cell_length_b 7.624
_cell_length_c 7.624
_cell_angle_alpha 156.35
_cell_angle_beta 156.35
_cell_angle_gamma 33.69
_symmetry_space_group_name_H-M 'P 1'
_symmetry_Int_Tables_number 1
loop_
_symmetry_equiv_pos_as_xyz
'x,y,z'
loop_
_atom_site_label
_atom_site_fract_x
_atom_site_fract_y
_atom_site_fract_z
Er1 0.000 0.000 0.000
Sc1 0.302 0.302 0.000
Nb1 0.658 0.658 0.000
```

## Properties
**Calculated formation energy**: 18 kJ per mole of atoms
**Offset from the most stable computed form**: 133.9 meV/atom

9.
Material: PrIn3
Method: DFT, PBE-GGA
State: optimized geometry

Structure (CIF):
```
data_PrIn3
_cell_length_a 4.739
_cell_length_b 4.739
_cell_length_c 4.739
_cell_angle_alpha 90.00
_cell_angle_beta 90.00
_cell_angle_gamma 90.00
_symmetry_space_group_name_H-M 'P 1'
_symmetry_Int_Tables_number 1
loop_
_symmetry_equiv_pos_as_xyz
'x,y,z'
loop_
_atom_site_label
_atom_site_fract_x
_atom_site_fract_y
_atom_site_fract_z
Pr1 0.000 0.000 0.000
In1 0.000 0.500 0.500
In2 0.500 0.000 0.500
In3 0.500 0.500 0.000
```

## Properties
**Calculated formation energy**: -46 kJ per mole of atoms

10.
Material: UPBrO6
Method: DFT, PBE-GGA
State: optimized geometry

Structure (CIF):
```
data_UPBrO6
_cell_length_a 5.362
_cell_length_b 5.362
_cell_length_c 6.258
_cell_angle_alpha 97.22
_cell_angle_beta 97.22
_cell_angle_gamma 122.49
_symmetry_space_group_name_H-M 'P 1'
_symmetry_Int_Tables_number 1
loop_
_symmetry_equiv_pos_as_xyz
'x,y,z'
loop_
_atom_site_label
_atom_site_fract_x
_atom_site_fract_y
_atom_site_fract_z
U1 0.000 0.000 0.000
P1 0.654 0.346 0.000
Br1 0.793 0.207 0.500
O1 0.331 0.031 0.838
O2 0.426 0.368 0.162
O3 0.632 0.574 0.838
O4 0.719 0.127 0.158
O5 0.873 0.281 0.842
O6 0.969 0.669 0.162
```

## Properties
**Formation energy from raw total energies**: -1.842 eV/atom

11.
Material: ZnP2W2
Method: DFT, PBE-GGA
State: optimized geometry

Structure (CIF):
```
data_ZnP2W2
_cell_length_a 6.805
_cell_length_b 6.805
_cell_length_c 6.805
_cell_angle_alpha 150.87
_cell_angle_beta 150.87
_cell_angle_gamma 41.67
_symmetry_space_group_name_H-M 'P 1'
_symmetry_Int_Tables_number 1
loop_
_symmetry_equiv_pos_as_xyz
'x,y,z'
loop_
_atom_site_label
_atom_site_fract_x
_atom_site_fract_y
_atom_site_fract_z
Zn1 0.000 0.000 0.000
P1 0.250 0.750 0.500
P2 0.750 0.250 0.500
W1 0.387 0.387 0.000
W2 0.613 0.613 0.000
```

## Properties
**Calculated formation energy**: 13 kJ per mole of atoms
**Offset from the most stable computed form**: 122.0 meV/atom

12.
Material: KAl2InTc
Method: DFT, PBE-GGA
State: optimized geometry

Structure (CIF):
```
data_KAl2InTc
_cell_length_a 4.881
_cell_length_b 4.881
_cell_length_c 5.338
_cell_angle_alpha 90.00
_cell_angle_beta 90.00
_cell_angle_gamma 90.00
_symmetry_space_group_name_H-M 'P 1'
_symmetry_Int_Tables_number 1
loop_
_symmetry_equiv_pos_as_xyz
'x,y,z'
loop_
_atom_site_label
_atom_site_fract_x
_atom_site_fract_y
_atom_site_fract_z
K1 0.000 0.000 0.000
Al1 0.000 0.500 0.500
Al2 0.500 0.000 0.500
In1 0.500 0.500 0.000
Tc1 0.500 0.500 0.500
```

## Properties
**Calculated formation energy**: -2 kJ per mole of atoms